# TlCo2F GGA+U relaxed
# - Offset from the most stable computed form: 243 meV per atom
# - Space-group type: No. 225
# - Volume: 63.8 Å³/cell
data_TlCo2F
_symmetry_space_group_name_H-M 'P 1'
_symmetry_Int_Tables_number 1
_cell_length_a 4.486
_cell_length_b 4.486
_cell_length_c 4.486
_cell_angle_alpha 60.00
_cell_angle_beta 60.00
_cell_angle_gamma 60.00
loop_
_symmetry_equiv_pos_as_xyz
'x,y,z'
loop_
_atom_site_label
_atom_site_type_symbol
_atom_site_fract_x
_atom_site_fract_y
_atom_site_fract_z
_atom_site_occupancy
Tl1 Tl 0.500 0.500 0.500 1
Co1 Co 0.250 0.250 0.250 1
Co2 Co 0.750 0.750 0.750 1
F1 F 0.000 0.000 0.000 1